Entry 1:
Below is a relaxed structure of KRbH2, with properties calculated at the PBE level.

Calculated values
Offset from the most stable computed form, eV/atom: 0.000

Cell lengths 4.1043, 4.1043, 7.1263 Å; angles 73.26, 73.26, 60.00 degrees
With the nearest neighbours (Å) after each atom.
Fractional positions:
H  0.7459  0.7459  0.7624  3 K 2.86, 3 Rb 2.95
H  0.2541  0.2541  0.2376  3 K 2.86, 3 Rb 2.95
K  0.0000  0.0000  0.0000  6 H 2.86
Rb  0.5000  0.5000  0.5000  6 H 2.95



Entry 2:
Below is a relaxed structure of Nd5TlTe8, with properties calculated at the PBE level.

Calculated values
Formation energy (no corrections), eV/f.u.: -17.22

Cell lengths 9.4289, 9.4289, 9.4289 Å; angles 60.00, 60.00, 60.00 degrees
With the nearest neighbours (Å) after each atom.
Fractional positions:
Nd  0.0000  0.0000  0.0000  4 Te 3.07
Nd  0.6207  0.6207  0.6207  6 Te 3.12-3.29
Nd  0.6207  0.6207  0.1380  6 Te 3.12-3.29
Nd  0.6207  0.1380  0.6207  6 Te 3.12-3.29
Nd  0.1380  0.6207  0.6207  6 Te 3.12-3.29
Te  0.3870  0.3870  0.3870  3 Nd 3.12, 1 Tl 3.17
Te  0.8669  0.8669  0.8669  4 Nd 3.07-3.29
Te  0.3870  0.8389  0.3870  3 Nd 3.12, 1 Tl 3.17
Te  0.8669  0.3992  0.8669  4 Nd 3.07-3.29
Te  0.3992  0.8669  0.8669  4 Nd 3.07-3.29
Te  0.8389  0.3870  0.3870  3 Nd 3.12, 1 Tl 3.17
Te  0.8669  0.8669  0.3992  4 Nd 3.07-3.29
Te  0.3870  0.3870  0.8389  3 Nd 3.12, 1 Tl 3.17
Tl  0.2500  0.2500  0.2500  4 Te 3.17



Entry 3:
Below is a relaxed structure of NaAcSn4, with properties calculated at the PBE level.

Calculated values
Formation energy, eV/atom: -0.28
Offset from the most stable computed form, eV/atom: 0.087

Cell lengths 5.4979, 5.6978, 6.4573 Å; angles 63.82, 88.68, 87.00 degrees
With the nearest neighbours (Å) after each atom.
Fractional positions:
Na  0.5000  0.5000  0.0000  10 Sn 3.54-3.61, 2 Ac 3.85
Ac  0.0000  0.0000  0.0000  10 Sn 3.53-3.62, 2 Na 3.85
Sn  0.0000  0.3071  0.3857  4 Sn 3.06-3.14
Sn  0.5000  0.1910  0.6180  4 Sn 3.06-3.16
Sn  0.5000  0.8090  0.3820  4 Sn 3.06-3.16
Sn  0.0000  0.6929  0.6143  4 Sn 3.06-3.14



Entry 4:
Below is a relaxed structure of Al2CdFe2, with properties calculated at the PBE level.

Calculated values
Formation energy, eV/atom: -0.01
Offset from the most stable computed form, eV/atom: 0.017

Cell lengths 7.1923, 7.1923, 2.7604 Å; angles 90.00, 90.00, 90.00 degrees
With the nearest neighbours (Å) after each atom.
Fractional positions:
Al  0.3667  0.8667  0.0000  6 Fe 2.52, 3 Al 2.71-2.76, 2 Cd 2.81
Al  0.1333  0.3667  0.0000  6 Fe 2.52, 3 Al 2.71-2.76, 2 Cd 2.81
Al  0.6333  0.1333  0.0000  6 Fe 2.52, 3 Al 2.71-2.76, 2 Cd 2.81
Al  0.8667  0.6333  0.0000  6 Fe 2.52, 3 Al 2.71-2.76, 2 Cd 2.81
Fe  0.1592  0.6592  0.5000  6 Al 2.52, 2 Fe 2.76
Fe  0.3408  0.1592  0.5000  6 Al 2.52, 2 Fe 2.76
Fe  0.8408  0.3408  0.5000  6 Al 2.52, 2 Fe 2.76
Fe  0.6592  0.8408  0.5000  6 Al 2.52, 2 Fe 2.76
Cd  0.0000  0.0000  0.0000  2 Cd 2.76, 4 Al 2.81, 8 Fe 3.04
Cd  0.5000  0.5000  0.0000  2 Cd 2.76, 4 Al 2.81, 8 Fe 3.04



Entry 5:
Below is a relaxed structure of La2HoEr, with properties calculated at the PBE level.

Calculated values
Formation energy, eV/atom: 0.03
Offset from the most stable computed form, eV/atom: 0.012

Cell lengths 3.7150, 3.7150, 9.8259 Å; angles 90.00, 90.00, 90.00 degrees
With the nearest neighbours (Å) after each atom.
Fractional positions:
La  0.0000  0.0000  0.7494  4 Er 3.59, 4 Ho 3.60, 4 La 3.72
La  0.0000  0.0000  0.2506  4 Er 3.59, 4 Ho 3.60, 4 La 3.72
Er  0.5000  0.5000  0.5000  8 La 3.59, 4 Er 3.72
Ho  0.5000  0.5000  0.0000  8 La 3.60, 4 Ho 3.72



Entry 6:
Below is a relaxed structure of YbGaO3, with properties calculated at the PBE level.

Calculated values
Formation energy (no corrections), eV/f.u.: -10.49

Cell lengths 3.8594, 3.8594, 3.8594 Å; angles 90.00, 90.00, 90.00 degrees
With the nearest neighbours (Å) after each atom.
Fractional positions:
Yb  0.0000  0.0000  0.0000  12 O 2.73
O  0.5000  0.5000  0.0000  2 Ga 1.93
O  0.5000  0.0000  0.5000  2 Ga 1.93
O  0.0000  0.5000  0.5000  2 Ga 1.93
Ga  0.5000  0.5000  0.5000  6 O 1.93



Entry 7:
Below is a relaxed structure of LaTlPb2, with properties calculated at the PBE level.

Calculated values
Formation energy, eV/atom: -0.24

Cell lengths 5.6927, 3.4767, 6.3107 Å; angles 88.87, 90.00, 90.00 degrees
With the nearest neighbours (Å) after each atom.
Fractional positions:
Pb  0.0000  0.3679  0.5072  4 Pb 3.16-3.48, 2 Tl 3.31, 2 La 3.51
Pb  0.0000  0.1321  0.9928  4 Pb 3.16-3.48, 2 Tl 3.31, 2 La 3.51
Tl  0.5000  0.2500  0.2500  4 Pb 3.31, 2 Tl 3.48, 4 La 3.57-3.63
La  0.5000  0.7500  0.7500  2 La 3.48, 8 Pb 3.51-3.86, 4 Tl 3.57-3.63



Entry 8:
Below is a relaxed structure of BaLa3Pt, with properties calculated at the PBE level.

Calculated values
Formation energy, eV/atom: -0.13
Offset from the most stable computed form, eV/atom: 0.281

Cell lengths 4.4013, 4.4013, 10.4684 Å; angles 90.00, 90.00, 90.00 degrees
With the nearest neighbours (Å) after each atom.
Fractional positions:
La  0.0000  0.5000  0.6186  4 La 3.11, 2 Pt 3.16
La  0.0000  0.0000  0.9097  4 Pt 3.21
La  0.5000  0.0000  0.6186  4 La 3.11, 2 Pt 3.16
Pt  0.5000  0.5000  0.8349  8 La 3.16-3.21
Ba  0.0000  0.0000  0.2818  5 La 3.89-4.16



Copy entry 5 word for word.
Below is a relaxed structure of La2HoEr, with properties calculated at the PBE level.

Calculated values
Formation energy, eV/atom: 0.03
Offset from the most stable computed form, eV/atom: 0.012

Cell lengths 3.7150, 3.7150, 9.8259 Å; angles 90.00, 90.00, 90.00 degrees
With the nearest neighbours (Å) after each atom.
Fractional positions:
La  0.0000  0.0000  0.7494  4 Er 3.59, 4 Ho 3.60, 4 La 3.72
La  0.0000  0.0000  0.2506  4 Er 3.59, 4 Ho 3.60, 4 La 3.72
Er  0.5000  0.5000  0.5000  8 La 3.59, 4 Er 3.72
Ho  0.5000  0.5000  0.0000  8 La 3.60, 4 Ho 3.72